Entry 1:
# K5Cd5Ag2, relaxed, DFT PBE
data_K5Cd5Ag2
_space_group_name_H-M_alt 'P -1'
_space_group_IT_number 2
_cell_length_a 5.4554
_cell_length_b 9.1268
_cell_length_c 9.1346
_cell_angle_alpha 73.36
_cell_angle_beta 72.66
_cell_angle_gamma 72.67
loop_
_space_group_symop_operation_xyz
'x,y,z'
'-x,-y,-z'
loop_
_atom_site_label
_atom_site_type_symbol
_atom_site_fract_x
_atom_site_fract_y
_atom_site_fract_z
K1 K 0.0000 0.0000 0.0000
K2 K 0.1498 0.5389 0.1612
K3 K 0.1534 0.1613 0.5319
Cd1 Cd 0.2568 0.7410 0.7439
Cd2 Cd 0.4963 0.7995 0.2076
Cd3 Cd 0.5000 0.5000 0.5000
Ag1 Ag 0.3504 0.1536 0.1442
# uncorrected energy: -0.09778 Ry per atom


Entry 2:
# KCdAg, relaxed, DFT PBE
data_KCdAg
_space_group_name_H-M_alt 'I m m 2'
_space_group_IT_number 44
_cell_length_a 3.3983
_cell_length_b 4.2673
_cell_length_c 12.2148
_cell_angle_alpha 90.00
_cell_angle_beta 90.00
_cell_angle_gamma 90.00
loop_
_space_group_symop_operation_xyz
'x,y,z'
'-x,-y,z'
'-x,y,z'
'x,-y,z'
'x+1/2,y+1/2,z+1/2'
'-x+1/2,-y+1/2,z+1/2'
'-x+1/2,y+1/2,z+1/2'
'x+1/2,-y+1/2,z+1/2'
loop_
_atom_site_label
_atom_site_type_symbol
_atom_site_fract_x
_atom_site_fract_y
_atom_site_fract_z
K1 K 0.0000 0.0000 0.0000
Cd1 Cd 0.0000 0.0000 0.2850
Ag1 Ag 0.0000 0.0000 0.7112
# uncorrected energy: -0.11864 Ry per atom


Entry 3:
# K5Cd4Ag, relaxed, DFT PBE
data_K5Cd4Ag
_space_group_name_H-M_alt 'C 1 2/m 1'
_space_group_IT_number 12
_cell_length_a 22.0484
_cell_length_b 4.9057
_cell_length_c 8.5078
_cell_angle_alpha 90.00
_cell_angle_beta 109.00
_cell_angle_gamma 90.00
loop_
_space_group_symop_operation_xyz
'x,y,z'
'-x,-y,-z'
'-x,y,-z'
'x,-y,z'
'x+1/2,y+1/2,z'
'-x+1/2,-y+1/2,-z'
'-x+1/2,y+1/2,-z'
'x+1/2,-y+1/2,z'
loop_
_atom_site_label
_atom_site_type_symbol
_atom_site_fract_x
_atom_site_fract_y
_atom_site_fract_z
K1 K 0.0000 0.0000 0.0000
K2 K 0.1348 0.5000 0.7770
K3 K 0.2049 0.5000 0.2891
Cd1 Cd 0.0387 0.5000 0.3636
Cd2 Cd 0.1211 0.0000 0.4382
Ag1 Ag 0.0000 0.0000 0.5000
# uncorrected energy: -0.09157 Ry per atom


Entry 4:
# KCd11Ag, relaxed, DFT PBE
data_KCd11Ag
_space_group_name_H-M_alt 'C 1 2/m 1'
_space_group_IT_number 12
_cell_length_a 5.9872
_cell_length_b 14.4697
_cell_length_c 7.7194
_cell_angle_alpha 90.00
_cell_angle_beta 111.83
_cell_angle_gamma 90.00
loop_
_space_group_symop_operation_xyz
'x,y,z'
'-x,-y,-z'
'-x,y,-z'
'x,-y,z'
'x+1/2,y+1/2,z'
'-x+1/2,-y+1/2,-z'
'-x+1/2,y+1/2,-z'
'x+1/2,-y+1/2,z'
loop_
_atom_site_label
_atom_site_type_symbol
_atom_site_fract_x
_atom_site_fract_y
_atom_site_fract_z
K1 K 0.0000 0.0000 0.0000
Cd1 Cd 0.0000 0.5000 0.5000
Cd2 Cd 0.1152 0.3927 0.2187
Cd3 Cd 0.1634 0.1747 0.3562
Cd4 Cd 0.2500 0.2500 0.0000
Ag1 Ag 0.0000 0.0000 0.5000
# uncorrected energy: -0.08226 Ry per atom


Entry 5:
# KCd2Ag2, relaxed, DFT PBE
data_KCd2Ag2
_space_group_name_H-M_alt 'I 4/m m m'
_space_group_IT_number 139
_space_group_name_Hall '-I 4 2'
_cell_length_a 4.9449
_cell_length_b 4.9449
_cell_length_c 22.5734
_cell_angle_alpha 90.00
_cell_angle_beta 90.00
_cell_angle_gamma 90.00
loop_
_atom_site_label
_atom_site_type_symbol
_atom_site_fract_x
_atom_site_fract_y
_atom_site_fract_z
K1 K 0.0000 0.0000 0.1304
Cd1 Cd 0.0000 0.0000 0.3124
Cd2 Cd 0.0000 0.5000 0.0000
Ag1 Ag 0.0000 0.0000 0.4355
Ag2 Ag 0.0000 0.5000 0.2500
# uncorrected energy: -0.12827 Ry per atom


Entry 6:
# K2CdAg3, relaxed, DFT PBE
data_K2CdAg3
_space_group_name_H-M_alt 'F m m m'
_space_group_IT_number 69
_space_group_name_Hall '-F 2 2'
_cell_length_a 9.0989
_cell_length_b 9.7471
_cell_length_c 16.9234
_cell_angle_alpha 90.00
_cell_angle_beta 90.00
_cell_angle_gamma 90.00
loop_
_atom_site_label
_atom_site_type_symbol
_atom_site_fract_x
_atom_site_fract_y
_atom_site_fract_z
K1 K 0.2464 0.0000 0.0000
K2 K 0.2500 0.2500 0.2500
Cd1 Cd 0.0000 0.0000 0.3334
Ag1 Ag 0.0000 0.0000 0.1661
Ag2 Ag 0.0000 0.2488 0.0828
# uncorrected energy: -0.14056 Ry per atom


no.,energy relative to the elements (eV/atom),magnetic moment (Bohr magnetons per cell)
1,-0.0165,0.000
2,0.0071,0.000
3,-0.0459,0.000
4,-0.0411,0.000
5,-0.0191,0.000
6,0.0316,0.000